(1)
Below is a relaxed Rb2PuTl3O6 crystal, with properties calculated at the GGA-PBE level.

Summary:
Its total DFT energy (no corrections) is -6.03 eV/atom. The value obtained for the total magnetization is 1.0 μB per formula unit.

Unit cell a=7.021 b=7.021 c=6.468 alpha=99.08 beta=99.08 gamma=121.94
Site moments in Bohr magnetons follow the coordinates.
Sites, in units of the cell vectors:
Tl 0.854 0.146 0.500  -0.01
Tl 0.146 0.854 0.500  -0.01
Tl 0.500 0.500 0.500  -0.01
O 0.298 0.071 0.178  -0.07
O 0.827 0.827 0.229  -0.05
O 0.071 0.298 0.178  -0.07
O 0.173 0.173 0.771  -0.05
O 0.929 0.702 0.822  -0.07
O 0.702 0.929 0.822  -0.07
Pu 0.000 0.000 0.000  1.42
Rb 0.672 0.328 0.000  0.00
Rb 0.328 0.672 0.000  0.00

---

(2)
Below is a relaxed RbPuTl2O8 crystal, with properties calculated at the GGA-PBE level.

Summary:
Its total DFT energy (no corrections) is -6.21 eV/atom. The value obtained for the total magnetization is 0.9 μB per formula unit. The density of states at the Fermi level is 1.9 states/eV/f.u.

Unit cell a=5.881 b=4.992 c=8.451 alpha=61.71 beta=93.91 gamma=93.53
Site moments in Bohr magnetons follow the coordinates.
Sites, in units of the cell vectors:
Tl 0.546 0.531 0.805  0.00
Tl 0.454 0.469 0.195  0.00
Pu 0.000 0.000 0.000  1.41
O 0.873 0.364 0.778  -0.07
O 0.149 0.909 0.849  -0.07
O 0.127 0.636 0.222  -0.07
O 0.851 0.091 0.151  -0.07
O 0.510 0.157 0.485  -0.05
O 0.673 0.744 0.980  -0.02
O 0.490 0.843 0.515  -0.05
O 0.327 0.256 0.020  -0.02
Rb 0.000 0.000 0.500  0.00

---

(3)
Below is a relaxed RbPu3Tl4O12 crystal, with properties calculated at the GGA-PBE level.

Summary:
Its total DFT energy (no corrections) is -7.56 eV/atom. The value obtained for the total magnetization is 5.0 μB per formula unit. The density of states at the Fermi level is 7.8 states/eV/f.u.

Unit cell a=7.705 b=7.705 c=7.705 alpha=109.47 beta=109.47 gamma=109.47
Site moments in Bohr magnetons follow the coordinates.
Sites, in units of the cell vectors:
Tl 0.000 0.500 0.000  0.00
Tl 0.000 0.000 0.500  0.00
Tl 0.500 0.000 0.000  0.00
Tl 0.500 0.500 0.500  0.00
O 0.708 0.000 0.708  -0.09
O 0.292 0.292 0.000  -0.09
O 0.750 0.250 0.500  -0.14
O 0.250 0.500 0.750  -0.14
O 0.000 0.292 0.292  -0.09
O 0.500 0.250 0.750  -0.14
O 0.708 0.708 0.000  -0.09
O 0.750 0.500 0.250  -0.14
O 0.500 0.750 0.250  -0.14
O 0.000 0.708 0.708  -0.09
O 0.292 0.000 0.292  -0.09
O 0.250 0.750 0.500  -0.14
Rb 0.000 0.000 0.000  -0.01
Pu 0.500 0.500 0.000  2.15
Pu 0.500 0.000 0.500  2.15
Pu 0.000 0.500 0.500  2.15

---

(4)
Below is a relaxed RbPuTlO4 crystal, with properties calculated at the GGA-PBE level.

Summary:
Its total DFT energy (no corrections) is -7.38 eV/atom. The value obtained for the total magnetization is 2.0 μB per formula unit. The density of states at the Fermi level is 2.2 states/eV/f.u.

Unit cell a=6.939 b=7.679 c=7.398 alpha=118.79 beta=90.00 gamma=116.86
Site moments in Bohr magnetons follow the coordinates.
Sites, in units of the cell vectors:
O 0.320 0.169 0.335  -0.11
O 0.850 0.169 0.335  -0.11
O 0.260 0.519 0.693  -0.11
O 0.260 0.519 0.326  -0.11
O 0.150 0.831 0.665  -0.11
O 0.740 0.481 0.674  -0.11
O 0.680 0.831 0.665  -0.11
O 0.740 0.481 0.307  -0.11
Rb 0.884 0.768 0.134  0.00
Rb 0.116 0.232 0.866  0.00
Tl 0.500 0.000 0.000  -0.01
Tl 0.500 0.000 0.500  -0.01
Pu 0.000 0.500 0.500  2.49
Pu 0.500 0.500 0.500  2.49

---

(5)
Below is a relaxed Rb2PuTlO6 crystal, with properties calculated at the GGA-PBE level.

Summary:
Its total DFT energy (no corrections) is -6.62 eV/atom. The value obtained for the total magnetization is 1.0 μB per formula unit.

Unit cell a=6.190 b=6.190 c=6.364 alpha=59.06 beta=59.07 gamma=86.72
Site moments in Bohr magnetons follow the coordinates.
Sites, in units of the cell vectors:
O 0.285 0.285 0.430  -0.07
O 0.715 0.715 0.000  -0.07
O 0.285 0.285 0.000  -0.07
O 0.240 0.760 0.000  -0.03
O 0.715 0.715 0.570  -0.07
O 0.760 0.240 0.000  -0.03
Tl 0.000 0.000 0.000  -0.01
Rb 0.250 0.750 0.500  0.00
Rb 0.750 0.250 0.500  0.00
Pu 0.500 0.500 0.000  1.38

---

(6)
Below is a relaxed RbPuTl2O6 crystal, with properties calculated at the GGA-PBE level.

Summary:
Its total DFT energy (no corrections) is -6.52 eV/atom. The value obtained for the total magnetization is 1.0 μB per formula unit.

Unit cell a=6.172 b=6.161 c=7.331 alpha=67.79 beta=64.85 gamma=56.25
Site moments in Bohr magnetons follow the coordinates.
Sites, in units of the cell vectors:
O 0.089 0.389 0.849  -0.08
O 0.320 0.708 0.844  -0.05
O 0.032 0.505 0.222  -0.07
O 0.307 0.982 0.157  -0.08
O 0.642 0.172 0.802  -0.07
O 0.618 0.217 0.180  -0.04
Pu 0.328 0.329 0.010  1.45
Tl 0.015 0.028 0.991  0.00
Tl 0.540 0.540 0.363  -0.01
Rb 0.771 0.791 0.597  0.00

---

(7)
Below is a relaxed Rb2Tm2PuO6 crystal, with properties calculated at the GGA-PBE level.

Summary:
Its total DFT energy (no corrections) is -7.84 eV/atom. The value obtained for the total magnetization is 4.0 μB per formula unit. The density of states at the Fermi level is 1.5 states/eV/f.u.

Unit cell a=5.962 b=5.962 c=6.975 alpha=98.34 beta=98.34 gamma=120.00
Site moments in Bohr magnetons follow the coordinates.
Sites, in units of the cell vectors:
O 0.050 0.386 0.664  -0.04
O 0.386 0.050 0.664  -0.04
O 0.614 0.950 0.336  -0.04
O 0.950 0.614 0.336  -0.04
O 0.730 0.730 0.663  -0.04
O 0.270 0.270 0.337  -0.04
Rb 0.169 0.831 0.000  0.00
Rb 0.831 0.169 0.000  0.00
Tm 0.666 0.334 0.500  0.01
Tm 0.334 0.666 0.500  0.01
Pu 0.000 0.000 0.500  4.17

---

(8)
Below is a relaxed Rb4TmPu3O8 crystal, with properties calculated at the GGA-PBE level.

Summary:
Its total DFT energy (no corrections) is -8.11 eV/atom. The value obtained for the total magnetization is 15.0 μB per formula unit. The density of states at the Fermi level is 13.6 states/eV/f.u.

Unit cell a=7.136 b=7.745 c=7.136 alpha=117.43 beta=120.00 gamma=90.00
Site moments in Bohr magnetons follow the coordinates.
Sites, in units of the cell vectors:
Rb 0.000 0.000 0.000  0.01
Rb 0.500 0.000 0.000  0.02
Rb 0.500 0.000 0.500  0.01
Rb 0.000 0.000 0.500  0.01
Tm 0.000 0.500 0.000  0.06
O 0.725 0.675 0.450  -0.10
O 0.266 0.325 0.046  -0.06
O 0.779 0.325 0.559  -0.06
O 0.275 0.325 0.550  -0.10
O 0.779 0.325 0.046  -0.06
O 0.734 0.675 0.954  -0.06
O 0.221 0.675 0.954  -0.06
O 0.221 0.675 0.441  -0.06
Pu 0.500 0.500 0.500  4.96
Pu 0.500 0.500 0.000  4.96
Pu 0.000 0.500 0.500  4.96

---

(9)
Below is a relaxed Rb4TmPu3O12 crystal, with properties calculated at the GGA-PBE level.

Summary:
Its total DFT energy (no corrections) is -8.10 eV/atom. The value obtained for the total magnetization is 7.0 μB per formula unit. The density of states at the Fermi level is 9.3 states/eV/f.u.

Unit cell a=7.455 b=7.455 c=7.455 alpha=109.47 beta=109.47 gamma=109.47
Site moments in Bohr magnetons follow the coordinates.
Sites, in units of the cell vectors:
O 0.500 0.250 0.750  -0.12
O 0.264 0.264 0.000  -0.11
O 0.750 0.500 0.250  -0.12
O 0.500 0.750 0.250  -0.12
O 0.000 0.264 0.264  -0.11
O 0.000 0.736 0.736  -0.11
O 0.736 0.736 0.000  -0.11
O 0.264 0.000 0.264  -0.11
O 0.250 0.500 0.750  -0.12
O 0.250 0.750 0.500  -0.12
O 0.736 0.000 0.736  -0.11
O 0.750 0.250 0.500  -0.12
Rb 0.000 0.500 0.000  0.00
Rb 0.500 0.000 0.000  0.00
Rb 0.500 0.500 0.500  0.00
Rb 0.000 0.000 0.500  0.00
Pu 0.500 0.500 0.000  2.81
Pu 0.500 0.000 0.500  2.81
Pu 0.000 0.500 0.500  2.81
Tm 0.000 0.000 0.000  -0.05

---

(10)
Below is a relaxed RbTm2PuO8 crystal, with properties calculated at the GGA-PBE level.

Summary:
Its total DFT energy (no corrections) is -7.87 eV/atom. The value obtained for the total magnetization is 1.0 μB per formula unit.

Unit cell a=5.070 b=5.065 c=7.643 alpha=90.01 beta=90.01 gamma=89.93
Site moments in Bohr magnetons follow the coordinates.
Sites, in units of the cell vectors:
Tm 0.500 0.500 0.785  -0.01
Tm 0.500 0.500 0.215  -0.01
Pu 0.000 0.000 0.000  1.44
Rb 0.000 0.000 0.500  0.00
O 0.300 0.298 0.000  -0.04
O 0.396 0.393 0.500  -0.04
O 0.811 0.191 0.814  -0.07
O 0.189 0.809 0.186  -0.07
O 0.700 0.702 0.000  -0.04
O 0.189 0.809 0.814  -0.07
O 0.811 0.191 0.186  -0.07
O 0.604 0.607 0.500  -0.04

---

(11)
Below is a relaxed Rb2TmPuO6 crystal, with properties calculated at the GGA-PBE level.

Summary:
Its total DFT energy (no corrections) is -7.59 eV/atom. The value obtained for the total magnetization is 1.0 μB per formula unit.

Unit cell a=6.073 b=6.074 c=8.589 alpha=90.00 beta=90.00 gamma=90.00
Site moments in Bohr magnetons follow the coordinates.
Sites, in units of the cell vectors:
O 0.237 0.513 0.000  -0.06
O 0.237 0.987 0.000  -0.06
O 0.000 0.750 0.763  -0.06
O 0.737 0.487 0.500  -0.06
O 0.263 0.013 0.500  -0.06
O 0.000 0.750 0.237  -0.06
O 0.763 0.513 0.000  -0.06
O 0.500 0.250 0.737  -0.06
O 0.737 0.013 0.500  -0.06
O 0.263 0.487 0.500  -0.06
O 0.500 0.250 0.263  -0.06
O 0.763 0.987 0.000  -0.06
Pu 0.000 0.750 0.000  1.43
Pu 0.500 0.250 0.500  1.43
Tm 0.500 0.250 0.000  -0.04
Tm 0.000 0.750 0.500  -0.04
Rb 0.500 0.750 0.750  0.00
Rb 0.000 0.250 0.750  0.00
Rb 0.000 0.250 0.250  0.00
Rb 0.500 0.750 0.250  0.00

---

(12)
Below is a relaxed Rb2TmPu3O12 crystal, with properties calculated at the GGA-PBE level.

Summary:
Its total DFT energy (no corrections) is -8.61 eV/atom. The value obtained for the total magnetization is 5.0 μB per formula unit. The density of states at the Fermi level is 8.4 states/eV/f.u.

Unit cell a=7.690 b=7.690 c=7.690 alpha=62.22 beta=62.22 gamma=62.22
Site moments in Bohr magnetons follow the coordinates.
Sites, in units of the cell vectors:
Pu 0.000 0.000 0.500  2.13
Pu 0.500 0.000 0.000  2.13
Pu 0.000 0.500 0.000  2.13
O 0.688 0.066 0.688  -0.12
O 0.929 0.336 0.929  -0.09
O 0.071 0.071 0.664  -0.09
O 0.664 0.071 0.071  -0.09
O 0.066 0.688 0.688  -0.12
O 0.312 0.312 0.934  -0.12
O 0.934 0.312 0.312  -0.12
O 0.688 0.688 0.066  -0.12
O 0.312 0.934 0.312  -0.12
O 0.336 0.929 0.929  -0.09
O 0.929 0.929 0.336  -0.09
O 0.071 0.664 0.071  -0.09
Rb 0.370 0.370 0.370  0.00
Rb 0.630 0.630 0.630  0.00
Tm 0.000 0.000 0.000  -0.03

---

total DFT energy (no corrections) of number 7 (Rb2Tm2PuO6)?
-7.84 eV/atom